VASP calculation (PBE) on a relaxed structure of CeThIr2.

Output
As for the spin magnetization: 0.00 μB/f.u. The calculation puts the calculated formation energy at -0.836 eV/atom.

abc: 4.0867 4.0867 19.9604
angles: 90.00 90.00 120.00
Space group R-3m (No. 166, hexagonal axes)
Asymmetric unit:
Ce1 0.0000 0.0000 0.0000 (multiplicity 3)
Th1 0.0000 0.0000 0.5000 (multiplicity 3)
Ir1 0.0000 0.0000 0.2520 (multiplicity 6)

VASP calculation (PBE) on a relaxed structure of CeTh3Ir2.

Output
As for the spin magnetization: 0.50 μB/f.u. The calculation puts the calculated formation energy at -0.596 eV/atom.

abc: 13.0542 6.6083 7.8965
angles: 90.00 107.64 90.00
Space group C2/c (No. 15)
Asymmetric unit:
Ce1 0.0000 0.2461 0.2500 (multiplicity 4)
Th1 0.0000 0.2589 0.7500 (multiplicity 4)
Th2 0.2107 0.0009 0.6053 (multiplicity 8)
Ir1 0.1316 0.4978 0.5658 (multiplicity 8)

VASP calculation (PBE) on a relaxed structure of CeThIr.

Output
As for the spin magnetization: 0.40 μB/f.u. The calculation puts the calculated formation energy at -0.446 eV/atom.

abc: 7.1941 7.1442 7.1530
angles: 90.00 114.53 90.00
Space group P2_1/c (No. 14)
Asymmetric unit:
Ce1 0.1989 0.1830 0.0724 (multiplicity 4)
Th1 0.3107 0.6644 0.9923 (multiplicity 4)
Ir1 0.0739 0.5509 0.2256 (multiplicity 4)

VASP calculation (PBE) on a relaxed structure of CeThIr4.

Output
As for the spin magnetization: 0.00 μB/f.u. The calculation puts the calculated formation energy at -0.802 eV/atom.

abc: 7.6720 7.6720 7.6720
angles: 90.00 90.00 90.00
Space group F-43m (No. 216)
Asymmetric unit:
Ce1 0.0000 0.0000 0.0000 (multiplicity 4)
Th1 0.2500 0.2500 0.7500 (multiplicity 4)
Ir1 0.1253 0.1253 0.3747 (multiplicity 16)

VASP calculation (PBE) on a relaxed structure of CeThIr2.

Output
As for the spin magnetization: 0.00 μB/f.u. The calculation puts the calculated formation energy at -0.906 eV/atom.

abc: 4.1367 3.9111 11.3383
angles: 90.00 90.00 90.00
Space group Amm2 (No. 38)
Asymmetric unit:
Ce1 0.0000 0.0000 0.0000 (multiplicity 2)
Th1 0.5000 0.0000 0.7257 (multiplicity 2)
Ir1 0.0000 0.0000 0.2686 (multiplicity 2)
Ir2 0.5000 0.0000 0.4624 (multiplicity 2)

VASP calculation (PBE) on a relaxed structure of Ce5ThIr4.

Output
As for the spin magnetization: 3.51 μB/f.u. The calculation puts the calculated formation energy at -0.622 eV/atom.

abc: 17.6421 4.1746 7.8141
angles: 90.00 108.85 90.00
Space group C2/m (No. 12)
Asymmetric unit:
Ce1 0.0000 0.0000 0.0000 (multiplicity 2)
Ce2 0.1643 0.5000 0.3705 (multiplicity 4)
Ce3 0.1730 0.5000 0.8688 (multiplicity 4)
Th1 0.0000 0.0000 0.5000 (multiplicity 2)
Ir1 0.0039 0.5000 0.7673 (multiplicity 4)
Ir2 0.1800 0.0000 0.6341 (multiplicity 4)

What did the first record say?
VASP calculation (PBE) on a relaxed structure of CeThIr2.

Output
As for the spin magnetization: 0.00 μB/f.u. The calculation puts the calculated formation energy at -0.836 eV/atom.

abc: 4.0867 4.0867 19.9604
angles: 90.00 90.00 120.00
Space group R-3m (No. 166, hexagonal axes)
Asymmetric unit:
Ce1 0.0000 0.0000 0.0000 (multiplicity 3)
Th1 0.0000 0.0000 0.5000 (multiplicity 3)
Ir1 0.0000 0.0000 0.2520 (multiplicity 6)